Density functional theory data (GGA-PBE) for an optimized crystal structure of DySbPt.

Computed properties:
space-group type	P-62m
raw total energy	-0.4391	Ry per atom

Cell lengths 7.4379, 7.4379, 4.1875 Å; angles 90.00, 90.00, 120.00 degrees
Last column: nearest neighbours and their distance in Å.
Element x y z (fractional)
Dy: 0.0000 0.6064 0.0000  5 Pt 2.93-3.10, 2 Sb 3.25
Dy: 0.3936 0.3936 0.0000  5 Pt 2.93-3.10, 2 Sb 3.25
Dy: 0.6064 0.0000 0.0000  5 Pt 2.93-3.10, 2 Sb 3.25
Sb: 0.0000 0.2727 0.5000  4 Pt 2.73-2.92
Sb: 0.2727 0.0000 0.5000  4 Pt 2.73-2.92
Sb: 0.7273 0.7273 0.5000  4 Pt 2.73-2.92
Pt: 0.0000 0.0000 0.0000  6 Sb 2.92, 3 Dy 2.93
Pt: 0.3333 0.6667 0.5000  3 Sb 2.73
Pt: 0.6667 0.3333 0.5000  3 Sb 2.73



Density functional theory data (GGA-PBE) for an optimized crystal structure of DySi2Pt.

Computed properties:
space-group type	P2_1/m
raw total energy	-0.4381	Ry per atom

Cell lengths 5.4563, 3.2672, 8.1455 Å; angles 90.00, 96.48, 90.00 degrees
Last column: nearest neighbours and their distance in Å.
Element x y z (fractional)
Dy: 0.0991 0.2500 0.3146  7 Si 2.85-3.09
Dy: 0.9009 0.7500 0.6854  7 Si 2.85-3.09
Si: 0.1822 0.7500 0.0041  3 Pt 2.48-2.64, 2 Si 2.57
Si: 0.3835 0.7500 0.5820  2 Pt 2.53, 2 Si 2.54
Si: 0.6165 0.2500 0.4180  2 Pt 2.53, 2 Si 2.54
Si: 0.8178 0.2500 0.9959  3 Pt 2.48-2.64, 2 Si 2.57
Pt: 0.4148 0.2500 0.8201  5 Si 2.48-2.64
Pt: 0.5852 0.7500 0.1799  5 Si 2.48-2.64



Density functional theory data (GGA-PBE) for an optimized crystal structure of DySi4Pt3.

Computed properties:
space-group type	Pm
raw total energy	-0.4528	Ry per atom

Cell lengths 5.5190, 3.8283, 6.5615 Å; angles 90.00, 101.95, 90.00 degrees
Last column: nearest neighbours and their distance in Å.
Element x y z (fractional)
Dy: 0.0000 0.0000 0.0000  6 Si 2.88-2.99, 1 Pt 3.06
Si: 0.1499 0.5000 0.7116  4 Pt 2.43-2.49, 2 Si 2.68
Si: 0.4913 0.0000 0.2954  3 Pt 2.48-2.61
Si: 0.4982 0.0000 0.7639  5 Pt 2.44-2.58, 2 Si 2.68
Si: 0.8667 0.5000 0.3095  4 Pt 2.43-2.54
Pt: 0.1395 0.0000 0.4762  6 Si 2.44-2.54
Pt: 0.4920 0.5000 0.0259  6 Si 2.48-2.61
Pt: 0.6992 0.5000 0.6244  4 Si 2.43-2.48